Record 1
NiAg2Rh, optimized geometry, DFT GGA-PBE; energy of formation from the pure elements = 0.32 eV/atom; calculated volume = 15.38 A^3/atom; DOS(E_F) = 5.995 states/eV/f.u.; energy above the lowest structure with this stoichiometry = 0.166 eV/atom
1.0
2.8378 0.0000 0.0000
0.0000 4.6038 0.0000
0.0000 0.0000 4.7095
Ni Ag Rh
1 2 1
Direct
0.0000 0.0000 0.0000
0.0000 0.5000 0.5000
0.5000 0.0000 0.5000
0.5000 0.5000 0.0000

=====

Record 2
SrDy3Co, optimized geometry, DFT GGA-PBE; energy of formation from the pure elements = -0.02 eV/atom; calculated volume = 31.25 A^3/atom; DOS(E_F) = 5.731 states/eV/f.u.
1.0
5.3859 0.0000 0.0000
0.0000 5.3859 0.0000
0.0000 0.0000 5.3859
Sr Dy Co
1 3 1
Direct
0.0000 0.0000 0.0000
0.0000 0.5000 0.5000
0.5000 0.0000 0.5000
0.5000 0.5000 0.0000
0.5000 0.5000 0.5000

=====

Record 3
TmZn6Rh2, optimized geometry, DFT GGA-PBE; energy of formation from the pure elements = -0.24 eV/atom; calculated volume = 16.12 A^3/atom; DOS(E_F) = 4.209 states/eV/f.u.
1.0
-1.5807 3.5894 6.3933
1.5807 -3.5894 6.3933
1.5807 3.5894 -6.3933
Tm Zn Rh
1 6 2
Direct
0.0000 0.0000 0.0000
0.0088 0.3220 0.6868
0.3354 0.5000 0.8354
0.3647 0.6780 0.6868
0.6353 0.3220 0.3132
0.6646 0.5000 0.1646
0.9912 0.6780 0.3132
0.3557 0.8557 0.5000
0.6443 0.1443 0.5000

=====

Record 4
BaBeAu, optimized geometry, DFT GGA-PBE; energy of formation from the pure elements = -0.02 eV/atom; calculated volume = 22.87 A^3/atom; DOS(E_F) = 1.491 states/eV/f.u.; energy above the lowest structure with this stoichiometry = 0.201 eV/atom
1.0
3.3835 0.0000 0.0000
0.0000 3.3835 0.0000
0.0000 0.0000 11.9840
Ba Be Au
2 2 2
Direct
0.0000 0.0000 0.0000
0.5000 0.5000 0.5000
0.0000 0.0000 0.7226
0.5000 0.5000 0.2226
0.0000 0.0000 0.2828
0.5000 0.5000 0.7828

=====

Record 5
BaInPd2O, optimized geometry, DFT GGA-PBE; calculated volume = 23.80 A^3/atom; raw formation energy = -0.403 eV/atom; DOS(E_F) = 4.352 states/eV/f.u.
1.0
5.1675 0.0000 0.0000
0.0000 5.1675 0.0000
0.0000 0.0000 4.4567
Ba In Pd O
1 1 2 1
Direct
0.0000 0.0000 0.0000
0.5000 0.5000 0.5000
0.0000 0.5000 0.5000
0.5000 0.0000 0.5000
0.5000 0.5000 0.0000

=====

Record 6
ReSb2Os, optimized geometry, DFT GGA-PBE; calculated volume = 18.06 A^3/atom; raw formation energy = 0.638 eV/atom; DOS(E_F) = 4.343 states/eV/f.u.; energy above the lowest structure with this stoichiometry = 0.349 eV/atom
1.0
3.1623 0.0000 0.0000
-1.5812 2.7387 0.0000
0.0000 0.0000 25.0232
Re Sb Os
3 6 3
Direct
0.0000 0.0000 0.0000
0.3333 0.6667 0.6667
0.6667 0.3333 0.3333
0.0000 0.0000 0.2496
0.0000 0.0000 0.7504
0.3333 0.6667 0.4171
0.3333 0.6667 0.9163
0.6667 0.3333 0.0837
0.6667 0.3333 0.5829
0.0000 0.0000 0.5000
0.3333 0.6667 0.1667
0.6667 0.3333 0.8333

=====

Record 7
BeCuO2, optimized geometry, DFT GGA-PBE; calculated volume = 8.34 A^3/atom; raw formation energy = -1.197 eV/atom; DOS(E_F) = 3.323 states/eV/f.u.
1.0
2.6586 0.0000 0.0000
-1.3293 2.3024 0.0000
0.0000 0.0000 16.3562
Be Cu O
3 3 6
Direct
0.0000 0.0000 0.0000
0.3333 0.6667 0.6667
0.6667 0.3333 0.3333
0.0000 0.0000 0.5000
0.3333 0.6667 0.1667
0.6667 0.3333 0.8333
0.0000 0.0000 0.3910
0.0000 0.0000 0.6090
0.3333 0.6667 0.0577
0.3333 0.6667 0.2757
0.6667 0.3333 0.7243
0.6667 0.3333 0.9423

=====

Record 8
FeCuTeAsOs, optimized geometry, DFT GGA-PBE; calculated volume = 16.79 A^3/atom; raw formation energy = 0.296 eV/atom; DOS(E_F) = 4.312 states/eV/f.u.; energy above the lowest structure with this stoichiometry = 0.179 eV/atom
1.0
8.5062 0.0000 0.0000
0.0000 3.1742 0.0000
-1.2070 0.0000 6.2178
Fe Cu Te As Os
2 2 2 2 2
Direct
0.0000 0.0000 0.0000
0.5000 0.5000 0.0000
0.3242 0.5000 0.6142
0.8242 0.0000 0.6142
0.0662 0.0000 0.4213
0.5662 0.5000 0.4213
0.2004 0.5000 0.9285
0.7004 0.0000 0.9285
0.3212 0.0000 0.2310
0.8212 0.5000 0.2310

=====

Record 9
CsPaMoN4, optimized geometry, DFT GGA-PBE; calculated volume = 21.20 A^3/atom; raw formation energy = -0.779 eV/atom; DOS(E_F) = 0.000 states/eV/f.u.
1.0
6.1223 0.0000 0.0000
0.0000 6.0603 0.0000
-2.7745 0.0000 8.0008
Cs Pa Mo N
2 2 2 8
Direct
0.1964 0.2500 0.4313
0.8036 0.7500 0.5687
0.2960 0.2500 0.9545
0.7040 0.7500 0.0455
0.2408 0.7500 0.1428
0.7592 0.2500 0.8572
0.0138 0.7500 0.9424
0.0339 0.7500 0.2643
0.4531 0.5174 0.1477
0.4531 0.9826 0.1477
0.5469 0.0174 0.8523
0.5469 0.4826 0.8523
0.9661 0.2500 0.7357
0.9862 0.2500 0.0576

=====

Record 10
Be3TeBr, optimized geometry, DFT GGA-PBE; calculated volume = 19.32 A^3/atom; raw formation energy = 1.207 eV/atom; DOS(E_F) = 3.863 states/eV/f.u.; energy above the lowest structure with this stoichiometry = 0.104 eV/atom
1.0
4.5886 0.0000 0.0000
0.0000 4.5886 0.0000
0.0000 0.0000 4.5886
Be Te Br
3 1 1
Direct
0.0000 0.0000 0.5000
0.0000 0.5000 0.0000
0.5000 0.0000 0.0000
0.5000 0.5000 0.5000
0.0000 0.0000 0.0000

=====

Record 11
OsRhC3, optimized geometry, DFT GGA-PBE; energy of formation from the pure elements = 2.83 eV/atom; calculated volume = 11.89 A^3/atom; DOS(E_F) = 6.146 states/eV/f.u.; energy above the lowest structure with this stoichiometry = 0.811 eV/atom
1.0
3.9027 0.0000 0.0000
0.0000 3.9027 0.0000
0.0000 0.0000 3.9027
Os Rh C
1 1 3
Direct
0.0000 0.0000 0.0000
0.5000 0.5000 0.5000
0.0000 0.5000 0.5000
0.5000 0.0000 0.5000
0.5000 0.5000 0.0000

=====

Record 12
Ti6AlIr, optimized geometry, DFT GGA-PBE; energy of formation from the pure elements = 0.09 eV/atom; calculated volume = 17.43 A^3/atom; DOS(E_F) = 10.899 states/eV/f.u.; energy above the lowest structure with this stoichiometry = 0.434 eV/atom
1.0
5.8411 0.0000 0.0000
0.0000 9.8170 0.0000
-2.8295 0.0000 4.8632
Ti Al Ir
12 2 2
Direct
0.0045 0.2241 0.2514
0.0045 0.7759 0.2514
0.0091 0.5000 0.7535
0.4909 0.0000 0.2465
0.4955 0.2759 0.7486
0.4955 0.7241 0.7486
0.5045 0.2759 0.2514
0.5045 0.7241 0.2514
0.5091 0.0000 0.7535
0.9909 0.5000 0.2465
0.9955 0.2241 0.7486
0.9955 0.7759 0.7486
0.0000 0.0000 0.5000
0.5000 0.5000 0.5000
0.0000 0.0000 0.0000
0.5000 0.5000 0.0000

=====

Record 13
NaSr3Se, optimized geometry, DFT GGA-PBE; calculated volume = 46.16 A^3/atom; raw formation energy = -0.671 eV/atom; DOS(E_F) = 4.230 states/eV/f.u.; energy above the lowest structure with this stoichiometry = 0.000 eV/atom
1.0
6.1341 0.0000 0.0000
0.0000 6.1341 0.0000
0.0000 0.0000 6.1341
Na Sr Se
1 3 1
Direct
0.0000 0.0000 0.0000
0.0000 0.5000 0.5000
0.5000 0.0000 0.5000
0.5000 0.5000 0.0000
0.5000 0.5000 0.5000

=====

Record 14
Ba4YFe, optimized geometry, DFT GGA-PBE; energy of formation from the pure elements = 0.96 eV/atom; calculated volume = 46.47 A^3/atom; DOS(E_F) = 14.714 states/eV/f.u.
1.0
0.0000 5.1853 5.1853
5.1853 0.0000 5.1853
5.1853 5.1853 0.0000
Ba Y Fe
4 1 1
Direct
0.1252 0.1252 0.1252
0.1252 0.1252 0.6243
0.1252 0.6243 0.1252
0.6243 0.1252 0.1252
0.7500 0.7500 0.7500
0.5000 0.5000 0.5000

=====

Record 15
LaGdDyAl, optimized geometry, DFT GGA-PBE; energy of formation from the pure elements = -0.08 eV/atom; calculated volume = 28.74 A^3/atom; DOS(E_F) = 4.682 states/eV/f.u.
1.0
7.7181 0.0000 0.0000
0.0000 7.7181 0.0000
0.0000 0.0000 7.7181
La Gd Dy Al
4 4 4 4
Direct
0.0000 0.0000 0.0000
0.0000 0.5000 0.5000
0.5000 0.0000 0.5000
0.5000 0.5000 0.0000
0.0000 0.0000 0.5000
0.0000 0.5000 0.0000
0.5000 0.0000 0.0000
0.5000 0.5000 0.5000
0.2500 0.2500 0.2500
0.2500 0.7500 0.7500
0.7500 0.2500 0.7500
0.7500 0.7500 0.2500
0.2500 0.2500 0.7500
0.2500 0.7500 0.2500
0.7500 0.2500 0.2500
0.7500 0.7500 0.7500

=====

Record 16
NaCd3Hg7, optimized geometry, DFT GGA-PBE; energy of formation from the pure elements = -0.02 eV/atom; calculated volume = 27.31 A^3/atom; DOS(E_F) = 2.541 states/eV/f.u.; energy above the lowest structure with this stoichiometry = 0.011 eV/atom
1.0
4.8085 -5.4321 0.0000
4.8085 5.4321 0.0000
-2.2749 0.0000 5.7498
Na Cd Hg
1 3 7
Direct
0.0000 0.0000 0.0000
0.2671 0.7329 0.5000
0.5000 0.5000 0.0000
0.7329 0.2671 0.5000
0.0000 0.0000 0.5000
0.0921 0.5635 0.8306
0.3115 0.3115 0.4053
0.4365 0.9079 0.1694
0.5635 0.0921 0.8306
0.6885 0.6885 0.5947
0.9079 0.4365 0.1694

=====

Record 17
Ta2AlHg, optimized geometry, DFT GGA-PBE; energy of formation from the pure elements = 0.13 eV/atom; calculated volume = 18.64 A^3/atom; DOS(E_F) = 1.427 states/eV/f.u.; energy above the lowest structure with this stoichiometry = 0.067 eV/atom
1.0
3.5159 0.0000 0.0000
0.0000 3.5159 0.0000
0.0000 0.0000 6.0316
Ta Al Hg
2 1 1
Direct
0.0000 0.0000 0.0000
0.5000 0.5000 0.2035
0.0000 0.0000 0.4576
0.5000 0.5000 0.7003

=====

Record 18
KRhC2, optimized geometry, DFT GGA-PBE; energy of formation from the pure elements = 0.95 eV/atom; calculated volume = 19.55 A^3/atom; DOS(E_F) = 0.671 states/eV/f.u.
1.0
5.4570 0.0000 0.0000
0.0000 5.4570 0.0000
0.0000 0.0000 10.5043
K Rh C
4 4 8
Direct
0.0000 0.0000 0.0000
0.0000 0.5000 0.2500
0.5000 0.0000 0.7500
0.5000 0.5000 0.5000
0.0000 0.0000 0.5000
0.0000 0.5000 0.7500
0.5000 0.0000 0.2500
0.5000 0.5000 0.0000
0.0015 0.7500 0.6250
0.2500 0.0015 0.3750
0.2500 0.4985 0.8750
0.4985 0.7500 0.1250
0.5015 0.2500 0.1250
0.7500 0.5015 0.8750
0.7500 0.9985 0.3750
0.9985 0.2500 0.6250

=====

Record 19
ZnGa4W, optimized geometry, DFT GGA-PBE; energy of formation from the pure elements = 0.20 eV/atom; calculated volume = 18.20 A^3/atom; DOS(E_F) = 3.105 states/eV/f.u.
1.0
5.6713 0.0000 0.0000
0.0000 6.1224 0.0000
0.0000 0.0000 6.2913
Zn Ga W
2 8 2
Direct
0.0000 0.0000 0.0000
0.5000 0.5000 0.0000
0.2356 0.2394 0.2776
0.2356 0.2394 0.7224
0.2356 0.7606 0.2776
0.2356 0.7606 0.7224
0.7644 0.2394 0.2776
0.7644 0.2394 0.7224
0.7644 0.7606 0.2776
0.7644 0.7606 0.7224
0.5000 0.0000 0.0000
0.5000 0.5000 0.5000

=====

Record 20
SbCBr2, optimized geometry, DFT GGA-PBE; calculated volume = 23.92 A^3/atom; raw formation energy = 1.387 eV/atom; DOS(E_F) = 2.284 states/eV/f.u.; energy above the lowest structure with this stoichiometry = 0.070 eV/atom
1.0
3.3862 0.0000 0.0000
-1.6931 2.9326 0.0000
0.0000 0.0000 28.9010
Sb C Br
3 3 6
Direct
0.0000 0.0000 0.0000
0.3333 0.6667 0.6667
0.6667 0.3333 0.3333
0.0000 0.0000 0.5000
0.3333 0.6667 0.1667
0.6667 0.3333 0.8333
0.0000 0.0000 0.4382
0.0000 0.0000 0.5618
0.3333 0.6667 0.1049
0.3333 0.6667 0.2285
0.6667 0.3333 0.7715
0.6667 0.3333 0.8951